Density functional theory data (PBE-GGA) for CsSn4Au2 after structural relaxation.

Properties
Space group ... P4_2/mnm
DFT formation energy ... -0.17 eV per atom
E ... -0.259 Ry/atom

Lattice parameters (Å, degrees): 4.586 9.336 9.336 90.00 90.00 90.00
Element x y z (fractional)
Cs 0.500 0.000 0.000
Cs 0.000 0.500 0.500
Sn 0.000 0.072 0.337
Sn 0.000 0.928 0.663
Sn 0.500 0.163 0.572
Sn 0.500 0.837 0.428
Sn 0.500 0.428 0.837
Sn 0.500 0.572 0.163
Sn 0.000 0.337 0.072
Sn 0.000 0.663 0.928
Au 0.000 0.220 0.780
Au 0.000 0.780 0.220
Au 0.500 0.720 0.720
Au 0.500 0.280 0.280